# OsPtAu2 PBEsol optimized geometry
# symmetry = Immm (71)
# total energy = -50.54 eV per cell
# DFT formation energy = 0.440 eV per atom
# relative energy among the computed polymorphs = 0.099 eV per atom
data_OsPtAu2
_chemical_formula_sum 'Os2 Pt2 Au4'
_cell_length_a 2.715
_cell_length_b 4.827
_cell_length_c 9.671
_cell_angle_alpha 90.00
_cell_angle_beta 90.00
_cell_angle_gamma 90.00
_symmetry_space_group_name_H-M 'P 1'
_symmetry_Int_Tables_number 1
loop_
_symmetry_equiv_pos_as_xyz
'x,y,z'
loop_
_atom_site_label
_atom_site_type_symbol
_atom_site_fract_x
_atom_site_fract_y
_atom_site_fract_z
_atom_site_occupancy
Os1 Os 0.000 0.000 0.000 1
Os2 Os 0.500 0.500 0.500 1
Pt1 Pt 0.000 0.000 0.500 1
Pt2 Pt 0.500 0.500 0.000 1
Au1 Au 0.000 0.500 0.254 1
Au2 Au 0.000 0.500 0.746 1
Au3 Au 0.500 0.000 0.246 1
Au4 Au 0.500 0.000 0.754 1

***

# OsPt2Au PBEsol optimized geometry
# symmetry = Cmmm (65)
# total energy = -57.97 eV per cell
# DFT formation energy = 0.270 eV per atom
# relative energy among the computed polymorphs = 0.024 eV per atom
data_OsPt2Au
_chemical_formula_sum 'Os2 Pt4 Au2'
_cell_length_a 2.717
_cell_length_b 4.738
_cell_length_c 9.586
_cell_angle_alpha 90.00
_cell_angle_beta 90.00
_cell_angle_gamma 90.00
_symmetry_space_group_name_H-M 'P 1'
_symmetry_Int_Tables_number 1
loop_
_symmetry_equiv_pos_as_xyz
'x,y,z'
loop_
_atom_site_label
_atom_site_type_symbol
_atom_site_fract_x
_atom_site_fract_y
_atom_site_fract_z
_atom_site_occupancy
Os1 Os 0.000 0.000 0.000 1
Os2 Os 0.500 0.500 0.000 1
Pt1 Pt 0.000 0.500 0.241 1
Pt2 Pt 0.000 0.500 0.759 1
Pt3 Pt 0.500 0.000 0.241 1
Pt4 Pt 0.500 0.000 0.759 1
Au1 Au 0.000 0.000 0.500 1
Au2 Au 0.500 0.500 0.500 1